No. 1
Here is a relaxed structure of CrHgAsPt2 from Alexandria. Energies are from PBE-GGA.

abc: 4.631 4.631 4.999
angles: 90.00 90.00 90.00
Fractional positions:
Cr 0.000 0.000 0.000
Hg 0.000 0.000 0.500
As 0.500 0.500 0.500
Pt 0.000 0.500 0.000
Pt 0.500 0.000 0.000

Summary:
The calculated formation energy comes out at 98.97 kJ per mole of atoms. The space-group type is P4/mmm. As for the density: 11.1 g/cm3.

No. 2
Here is a relaxed structure of RbCr2HgAs from Alexandria. Energies are from PBE-GGA.

abc: 5.277 5.277 6.082
angles: 90.00 90.00 90.00
Fractional positions:
Rb 0.000 0.000 0.000
Cr 0.000 0.500 0.500
Cr 0.500 0.000 0.500
Hg 0.000 0.000 0.500
As 0.500 0.500 0.000

Summary:
The calculated formation energy comes out at 112.33 kJ per mole of atoms. The space-group type is P4/mmm. As for the density: 4.6 g/cm3.

No. 3
Here is a relaxed structure of CrHgAs2Rh from Alexandria. Energies are from PBE-GGA.

abc: 4.505 4.505 5.105
angles: 90.00 90.00 90.00
Fractional positions:
Cr 0.000 0.000 0.000
Hg 0.000 0.000 0.500
As 0.000 0.500 0.000
As 0.500 0.000 0.000
Rh 0.500 0.500 0.500

Summary:
The calculated formation energy comes out at 67.21 kJ per mole of atoms. The space-group type is P4/mmm. As for the density: 8.1 g/cm3.

| no. | raw total energy (Ry/atom) |
| --- | --- |
| 1 | -0.3165 |
| 2 | -0.2844 |
| 3 | -0.3395 |